1.
Density functional theory data (GGA-PBE) for an optimized crystal structure of LaScHg.

Results
Excess energy over the best structure of this formula in the dataset (eV per atom): 0.207

```
data_LaScHg
_symmetry_space_group_name_H-M 'P 1'
_symmetry_Int_Tables_number 1
_cell_length_a 3.568
_cell_length_b 3.568
_cell_length_c 7.697
_cell_angle_alpha 90.00
_cell_angle_beta 90.00
_cell_angle_gamma 120.00
loop_
_symmetry_equiv_pos_as_xyz
'x,y,z'
loop_
_atom_site_label
_atom_site_fract_x
_atom_site_fract_y
_atom_site_fract_z
Hg1 0.000 0.000 0.978
Sc1 0.333 0.667 0.693
La1 0.667 0.333 0.329
```

***

2.
Density functional theory data (GGA-PBE) for an optimized crystal structure of La2ScHg2.

Results
Excess energy over the best structure of this formula in the dataset (eV per atom): 0.184

```
data_La2ScHg2
_symmetry_space_group_name_H-M 'P 1'
_symmetry_Int_Tables_number 1
_cell_length_a 8.881
_cell_length_b 8.881
_cell_length_c 3.829
_cell_angle_alpha 90.00
_cell_angle_beta 90.00
_cell_angle_gamma 90.00
loop_
_symmetry_equiv_pos_as_xyz
'x,y,z'
loop_
_atom_site_label
_atom_site_fract_x
_atom_site_fract_y
_atom_site_fract_z
Sc1 0.000 0.000 0.000
Sc2 0.500 0.500 0.000
Hg1 0.639 0.861 0.500
Hg2 0.361 0.139 0.500
Hg3 0.139 0.639 0.500
Hg4 0.861 0.361 0.500
La1 0.660 0.160 0.000
La2 0.160 0.340 0.000
La3 0.340 0.840 0.000
La4 0.840 0.660 0.000
```

***

3.
Density functional theory data (GGA-PBE) for an optimized crystal structure of La8ScHg2.

```
data_La8ScHg2
_symmetry_space_group_name_H-M 'P 1'
_symmetry_Int_Tables_number 1
_cell_length_a 5.432
_cell_length_b 8.544
_cell_length_c 9.023
_cell_angle_alpha 113.06
_cell_angle_beta 107.52
_cell_angle_gamma 90.00
loop_
_symmetry_equiv_pos_as_xyz
'x,y,z'
loop_
_atom_site_label
_atom_site_fract_x
_atom_site_fract_y
_atom_site_fract_z
La1 0.395 0.533 0.790
La2 0.951 0.254 0.901
La3 0.605 0.467 0.210
La4 0.049 0.746 0.099
La5 0.855 0.797 0.710
La6 0.686 0.956 0.373
La7 0.314 0.044 0.627
La8 0.145 0.203 0.290
Hg1 0.784 0.367 0.568
Hg2 0.216 0.633 0.432
Sc1 0.500 0.000 0.000
```

***

4.
Density functional theory data (GGA-PBE) for an optimized crystal structure of LaScHg.

Results
Excess energy over the best structure of this formula in the dataset (eV per atom): 0.072

```
data_LaScHg
_symmetry_space_group_name_H-M 'P 1'
_symmetry_Int_Tables_number 1
_cell_length_a 7.455
_cell_length_b 3.635
_cell_length_c 6.529
_cell_angle_alpha 106.17
_cell_angle_beta 73.93
_cell_angle_gamma 89.98
loop_
_symmetry_equiv_pos_as_xyz
'x,y,z'
loop_
_atom_site_label
_atom_site_fract_x
_atom_site_fract_y
_atom_site_fract_z
La1 0.899 0.120 0.322
La2 0.086 0.797 0.678
Sc1 0.445 0.106 0.296
Sc2 0.540 0.811 0.704
Hg1 0.724 0.439 0.961
Hg2 0.261 0.478 0.039
```

***

5.
Density functional theory data (GGA-PBE) for an optimized crystal structure of La3Sc2Hg3.

```
data_La3Sc2Hg3
_symmetry_space_group_name_H-M 'P 1'
_symmetry_Int_Tables_number 1
_cell_length_a 3.736
_cell_length_b 5.437
_cell_length_c 11.677
_cell_angle_alpha 103.46
_cell_angle_beta 99.21
_cell_angle_gamma 90.00
loop_
_symmetry_equiv_pos_as_xyz
'x,y,z'
loop_
_atom_site_label
_atom_site_fract_x
_atom_site_fract_y
_atom_site_fract_z
La1 0.375 0.375 0.750
La2 0.625 0.625 0.250
La3 0.500 0.000 0.000
Sc1 0.740 0.240 0.479
Sc2 0.260 0.760 0.521
Hg1 0.861 0.861 0.722
Hg2 0.139 0.139 0.278
Hg3 0.000 0.500 0.000
```

***

6.
Density functional theory data (GGA-PBE) for an optimized crystal structure of La2Sc2Hg.

Results
Excess energy over the best structure of this formula in the dataset (eV per atom): 0.048

```
data_La2Sc2Hg
_symmetry_space_group_name_H-M 'P 1'
_symmetry_Int_Tables_number 1
_cell_length_a 9.902
_cell_length_b 9.902
_cell_length_c 9.902
_cell_angle_alpha 156.24
_cell_angle_beta 156.24
_cell_angle_gamma 33.85
loop_
_symmetry_equiv_pos_as_xyz
'x,y,z'
loop_
_atom_site_label
_atom_site_fract_x
_atom_site_fract_y
_atom_site_fract_z
La1 0.405 0.405 0.000
La2 0.595 0.595 0.000
Hg1 0.000 0.000 0.000
Sc1 0.250 0.750 0.500
Sc2 0.750 0.250 0.500
```

***

no.,theoretical density (g/cm3),raw total energy (eV for the cell shown),M_tot (Bohr magnetons per cell)
1,7.52,-12.0,0.31
2,7.96,-34.9,0.00
3,7.10,-47.8,0.00
4,7.85,-24.7,1.21
5,8.09,-31.0,0.00
6,5.99,-22.2,0.62